Entry 1:
Mg2SnAs2 | PBE-GGA | relaxed

Geometry as extended XYZ:
```
10
Lattice="8.2490 0.0000 0.0000 0.0000 8.2490 0.0000 0.0000 0.0000 3.1475" Properties=species:S:1:pos:R:3 pbc="T T T"
Mg 1.1227 3.0018 0.0000
Mg 3.0018 7.1263 0.0000
Mg 5.2473 1.1227 0.0000
Mg 7.1263 5.2473 0.0000
Sn 0.0000 0.0000 0.0000
Sn 4.1245 4.1245 0.0000
As 1.3324 5.4569 1.5737
As 2.7921 1.3324 1.5737
As 5.4569 6.9166 1.5737
As 6.9166 2.7921 1.5737
```

ΔH_f (0 K) = -0.15 eV per atom
magnetic moment = 0.00 μB/cell
energy = -17.3 eV per formula unit
SG = No. 127

---

Entry 2:
Mg2Sn2As | PBE-GGA | relaxed

Geometry as extended XYZ:
```
10
Lattice="7.0323 0.0000 0.0000 0.0000 7.0323 0.0000 0.0000 0.0000 4.9149" Properties=species:S:1:pos:R:3 pbc="T T T"
Mg 1.0688 2.4474 0.0000
Mg 2.4474 5.9635 0.0000
Mg 4.5850 1.0688 0.0000
Mg 5.9635 4.5850 0.0000
Sn 1.0900 4.6062 2.4575
Sn 2.4261 1.0900 2.4575
Sn 4.6062 5.9423 2.4575
Sn 5.9423 2.4261 2.4575
As 0.0000 0.0000 0.0000
As 3.5162 3.5162 0.0000
```

ΔH_f (0 K) = -0.05 eV per atom
magnetic moment = 0.00 μB/cell
energy = -16.1 eV per formula unit
SG = No. 127

---

Entry 3:
MgSn2As | PBE-GGA | relaxed

Geometry as extended XYZ:
```
4
Lattice="0.0000 3.6424 3.6424 3.6424 0.0000 3.6424 3.6424 3.6424 0.0000" Properties=species:S:1:pos:R:3 pbc="T T T"
Mg 0.0000 0.0000 0.0000
Sn 1.8212 1.8212 1.8212
Sn 5.4636 5.4636 5.4636
As 3.6424 3.6424 3.6424
```

ΔH_f (0 K) = 0.11 eV per atom
magnetic moment = 0.00 μB/cell
energy = -13.8 eV per formula unit
SG = No. 225

---

Entry 4:
MgSnAs3 | PBE-GGA | relaxed

Geometry as extended XYZ:
```
5
Lattice="5.0167 0.0000 0.0000 0.0000 5.0167 0.0000 0.0000 0.0000 5.0167" Properties=species:S:1:pos:R:3 pbc="T T T"
Mg 0.0000 0.0000 0.0000
Sn 2.5083 2.5083 2.5083
As 0.0000 0.0000 2.5083
As 0.0000 2.5083 0.0000
As 2.5083 0.0000 0.0000
```

ΔH_f (0 K) = 0.54 eV per atom
magnetic moment = 0.00 μB/cell
energy = -16.9 eV per formula unit
SG = No. 221

---

Entry 5:
MgSn2As | PBE-GGA | relaxed

Geometry as extended XYZ:
```
8
Lattice="-3.3451 3.3451 5.9387 3.3451 -3.3451 5.9387 3.3451 3.3451 -5.9387" Properties=species:S:1:pos:R:3 pbc="T T T"
Mg 0.0000 0.0000 0.0000
Mg 0.0000 3.3451 2.9693
Sn 1.6726 -1.5368 4.4540
Sn 1.8083 1.6726 1.4847
Sn 1.6726 4.8819 -1.4847
Sn 1.5368 1.6726 7.4233
As 3.3451 0.0000 2.9693
As 0.0000 0.0000 5.9387
```

ΔH_f (0 K) = 0.10 eV per atom
magnetic moment = 0.00 μB/cell
energy = -13.9 eV per formula unit
SG = No. 122

---

Entry 6:
Mg3Sn5As12 | PBE-GGA | relaxed

Geometry as extended XYZ:
```
80
Lattice="-8.1057 8.1057 8.1057 8.1057 -8.1057 8.1057 8.1057 8.1057 -8.1057" Properties=species:S:1:pos:R:3 pbc="T T T"
Mg 4.0529 2.0264 0.0000
Mg 8.1057 4.0529 -2.0264
Mg 2.0264 0.0000 4.0529
Mg 10.1321 0.0000 4.0529
Mg 0.0000 4.0529 2.0264
Mg 4.0529 -2.0264 8.1057
Mg 4.0529 10.1321 0.0000
Mg 8.1057 4.0529 6.0793
Mg -2.0264 8.1057 4.0529
Mg 6.0793 8.1057 4.0529
Mg 0.0000 4.0529 10.1321
Mg 4.0529 6.0793 8.1057
Sn 0.0000 0.0000 0.0000
Sn 4.0529 4.0529 -4.0529
Sn 4.0529 -4.0529 4.0529
Sn 8.1057 0.0000 0.0000
Sn 12.1586 2.0264 0.0000
Sn 8.1057 -4.0529 6.0793
Sn 6.0793 8.1057 -4.0529
Sn 6.0793 0.0000 4.0529
Sn 4.0529 6.0793 0.0000
Sn 8.1057 4.0529 2.0264
Sn -4.0529 4.0529 4.0529
Sn 0.0000 8.1057 0.0000
Sn 0.0000 0.0000 8.1057
Sn 4.0529 4.0529 4.0529
Sn 0.0000 4.0529 6.0793
Sn 4.0529 2.0264 8.1057
Sn 2.0264 8.1057 4.0529
Sn 2.0264 0.0000 12.1586
Sn 0.0000 12.1586 2.0264
Sn -4.0529 6.0793 8.1057
As 2.6683 -0.2391 1.4365
As 9.4902 5.4893 -4.2919
As 7.8666 -1.4365 2.6683
As 12.3976 -1.3845 2.6164
As 10.7740 0.2391 1.4365
As 9.4902 -2.6164 4.2919
As 1.4365 2.6683 -0.2391
As 10.7221 3.8138 -1.3845
As 5.4893 4.2919 -1.3845
As 6.6692 2.6683 0.2391
As 7.8666 6.6692 -2.6683
As 4.2919 1.3845 2.6164
As -0.2391 1.4365 2.6683
As 4.2919 -1.3845 5.4893
As 6.6692 -2.6683 7.8666
As 5.4893 -4.2919 9.4902
As 2.6164 4.2919 1.3845
As 9.5422 5.4374 0.2391
As 2.6683 7.8666 -1.4365
As 9.4902 2.6164 3.8138
As 4.2919 9.4902 -2.6164
As 7.8666 1.4365 5.4374
As 1.3845 2.6164 4.2919
As 2.6683 0.2391 6.6692
As 5.4374 7.8666 1.4365
As 6.7212 5.4893 3.8138
As 0.2391 6.6692 2.6683
As 3.8138 -1.3845 10.7221
As -1.3845 5.4893 4.2919
As 5.4374 0.2391 9.5422
As -1.4365 2.6683 7.8666
As 5.4893 3.8138 6.7212
As 2.6164 12.3976 -1.3845
As 1.4365 10.7740 0.2391
As 3.8138 9.4902 2.6164
As 8.3448 6.6692 5.4374
As 3.8138 6.7212 5.4893
As 0.2391 1.4365 10.7740
As 1.4365 5.4374 7.8666
As 2.6164 3.8138 9.4902
As -2.6164 4.2919 9.4902
As 6.6692 5.4374 8.3448
As -1.3845 10.7221 3.8138
As -2.6683 7.8666 6.6692
As -4.2919 9.4902 5.4893
As 0.2391 9.5422 5.4374
As -1.3845 2.6164 12.3976
As 5.4374 8.3448 6.6692
```

ΔH_f (0 K) = 0.06 eV per atom
magnetic moment = 0.00 μB/cell
energy = -79.4 eV per formula unit
SG = No. 230

---

Entry 7:
MgSn4As5 | PBE-GGA | relaxed

Geometry as extended XYZ:
```
20
Lattice="4.2242 0.0000 0.0000 -2.1121 3.6583 0.0000 0.0000 0.0000 41.4190" Properties=species:S:1:pos:R:3 pbc="T T T"
Mg 0.0000 0.0000 0.0000
Mg 0.0000 0.0000 7.1148
Sn 0.0000 0.0000 15.4916
Sn 0.0000 0.0000 24.5098
Sn 0.0000 0.0000 33.4752
Sn 0.0000 2.4388 3.1427
Sn 0.0000 2.4388 10.3940
Sn 0.0000 2.4388 19.4538
Sn 0.0000 2.4388 28.4742
Sn 0.0000 2.4388 37.4503
As 0.0000 0.0000 4.3291
As 0.0000 0.0000 11.5982
As 0.0000 0.0000 20.6430
As 0.0000 0.0000 29.6591
As 0.0000 0.0000 38.6069
As 0.0000 2.4388 0.5738
As 0.0000 2.4388 7.7897
As 0.0000 2.4388 16.7881
As 0.0000 2.4388 25.8062
As 0.0000 2.4388 34.7781
```

ΔH_f (0 K) = -0.10 eV per atom
magnetic moment = 0.00 μB/cell
energy = -41.8 eV per formula unit
SG = No. 156

---

Entry 8:
MgSn2As | PBE-GGA | relaxed

Geometry as extended XYZ:
```
4
Lattice="1.8779 1.0842 9.5085 -1.8779 1.0842 9.5085 0.0000 -2.1684 9.5085" Properties=species:S:1:pos:R:3 pbc="T T T"
Mg 0.0000 0.0000 0.0000
Sn 0.0000 0.0000 2.9502
Sn 0.0000 0.0000 25.5754
As 0.0000 0.0000 14.2628
```

ΔH_f (0 K) = 0.17 eV per atom
magnetic moment = 0.00 μB/cell
energy = -13.6 eV per formula unit
SG = No. 166

---

Entry 9:
Mg2SnAs2 | PBE-GGA | relaxed

Geometry as extended XYZ:
```
5
Lattice="-1.8789 1.8789 8.0758 1.8789 -1.8789 8.0758 1.8789 1.8789 -8.0758" Properties=species:S:1:pos:R:3 pbc="T T T"
Mg 0.0000 0.0000 1.7930
Mg 0.0000 0.0000 14.3586
Sn 0.0000 0.0000 8.0758
As 1.8789 0.0000 4.0379
As 0.0000 1.8789 4.0379
```

ΔH_f (0 K) = -0.11 eV per atom
magnetic moment = 0.00 μB/cell
energy = -17.0 eV per formula unit
SG = No. 139

---

Entry 10:
Mg2SnAs2 | PBE-GGA | relaxed

Geometry as extended XYZ:
```
10
Lattice="8.2165 0.0000 0.0000 0.0000 8.2165 0.0000 0.0000 0.0000 3.2111" Properties=species:S:1:pos:R:3 pbc="T T T"
Mg 1.1475 2.9608 0.0000
Mg 2.9608 7.0690 0.0000
Mg 5.2557 1.1475 0.0000
Mg 7.0690 5.2557 0.0000
Sn 0.0000 0.0000 1.6056
Sn 4.1082 4.1082 1.6056
As 1.2998 5.4080 1.6056
As 2.8085 1.2998 1.6056
As 5.4080 6.9167 1.6056
As 6.9167 2.8085 1.6056
```

ΔH_f (0 K) = -0.25 eV per atom
magnetic moment = 0.00 μB/cell
energy = -17.7 eV per formula unit
SG = No. 127

---

Entry 11:
MgTlSnAs2 | PBE-GGA | relaxed

Geometry as extended XYZ:
```
5
Lattice="5.3059 0.0000 0.0000 0.0000 5.3059 0.0000 0.0000 0.0000 5.7790" Properties=species:S:1:pos:R:3 pbc="T T T"
Mg 0.0000 0.0000 0.0000
Tl 2.6529 2.6529 0.0000
Sn 2.6529 2.6529 2.8895
As 0.0000 2.6529 2.8895
As 2.6529 0.0000 2.8895
```

ΔH_f (0 K) = 0.61 eV per atom
magnetic moment = 0.00 μB/cell
energy = -14.2 eV per formula unit
SG = No. 123

---

Entry 12:
MgZnSnAs2 | PBE-GGA | relaxed

Geometry as extended XYZ:
```
5
Lattice="4.8935 0.0000 0.0000 0.0000 4.8935 0.0000 0.0000 0.0000 5.2549" Properties=species:S:1:pos:R:3 pbc="T T T"
Mg 0.0000 0.0000 0.0000
Zn 2.4467 2.4467 2.6275
Sn 2.4467 2.4467 0.0000
As 0.0000 2.4467 2.6275
As 2.4467 0.0000 2.6275
```

ΔH_f (0 K) = 0.44 eV per atom
magnetic moment = 0.00 μB/cell
energy = -14.0 eV per formula unit
SG = No. 123